1.
VASP calculation (PBE) on Sn5Os3Au after structural relaxation.

Calculated values
The value obtained for the mass density is 11.205 g cm⁻³.

Cell: 5.4562 5.4562 7.8244 Å, 90.00 90.00 120.00°
Space group P6/mmm (No. 191)
Unique sites:
Sn 0.0000 0.0000 0.0000 (multiplicity 1)
Sn 0.3333 0.6667 0.3010 (multiplicity 4)
Os 0.0000 0.5000 0.0000 (multiplicity 3)
Au 0.0000 0.0000 0.5000 (multiplicity 1)

=====

2.
VASP calculation (PBE) on SrOs2Au after structural relaxation.

Calculated values
The value obtained for the mass density is 14.879 g cm⁻³.

Cell: 6.671 6.671 6.671 Å, 90.00 90.00 90.00°
Space group F-43m (No. 216)
Unique sites:
Sr 0.000 0.000 0.000 (multiplicity 4)
Os 0.000 0.000 0.500 (multiplicity 4)
Os 0.250 0.250 0.750 (multiplicity 4)
Au 0.250 0.250 0.250 (multiplicity 4)

=====

3.
VASP calculation (PBE) on TaOs2Au after structural relaxation.

Calculated values
The value obtained for the mass density is 19.603 g cm⁻³.

Cell: 6.358 6.358 6.358 Å, 90.00 90.00 90.00°
Space group F-43m (No. 216)
Unique sites:
Ta 0.000 0.000 0.000 (multiplicity 4)
Os 0.000 0.000 0.500 (multiplicity 4)
Os 0.250 0.250 0.750 (multiplicity 4)
Au 0.250 0.250 0.250 (multiplicity 4)

=====

4.
VASP calculation (PBE) on Te5Os3Au after structural relaxation.

Calculated values
The value obtained for the mass density is 10.137 g cm⁻³.

Cell: 5.8744 5.8744 7.7047 Å, 90.00 90.00 120.00°
Space group P6/mmm (No. 191)
Unique sites:
Te 0.0000 0.0000 0.0000 (multiplicity 1)
Te 0.3333 0.6667 0.2639 (multiplicity 4)
Os 0.0000 0.5000 0.0000 (multiplicity 3)
Au 0.0000 0.0000 0.5000 (multiplicity 1)

=====

5.
VASP calculation (PBE) on TeOs2Au after structural relaxation.

Calculated values
The value obtained for the mass density is 16.881 g cm⁻³.

Cell: 6.522 6.522 6.522 Å, 90.00 90.00 90.00°
Space group F-43m (No. 216)
Unique sites:
Te 0.000 0.000 0.000 (multiplicity 4)
Os 0.000 0.000 0.500 (multiplicity 4)
Os 0.250 0.250 0.750 (multiplicity 4)
Au 0.250 0.250 0.250 (multiplicity 4)

=====

6.
VASP calculation (PBE) on TlTe3OsAu after structural relaxation.

Calculated values
The value obtained for the mass density is 9.526 g cm⁻³.

Cell: 4.029 15.957 10.569 Å, 90.00 90.00 90.00°
Space group Cmcm (No. 63)
Unique sites:
Tl 0.000 0.198 0.250 (multiplicity 4)
Te 0.000 0.109 0.520 (multiplicity 8)
Te 0.000 0.458 0.750 (multiplicity 4)
Os 0.000 0.500 0.000 (multiplicity 4)
Au 0.000 0.171 0.750 (multiplicity 4)

=====

7.
VASP calculation (PBE) on TlOsAu2 after structural relaxation.

Calculated values
The value obtained for the mass density is 18.122 g cm⁻³.

Cell: 6.612 6.612 6.612 Å, 90.00 90.00 90.00°
Space group F-43m (No. 216)
Unique sites:
Tl 0.000 0.000 0.000 (multiplicity 4)
Os 0.250 0.250 0.250 (multiplicity 4)
Au 0.000 0.000 0.500 (multiplicity 4)
Au 0.250 0.250 0.750 (multiplicity 4)

=====

8.
VASP calculation (PBE) on TlOs2Au after structural relaxation.

Calculated values
The value obtained for the mass density is 18.900 g cm⁻³.

Cell: 6.501 6.501 6.501 Å, 90.00 90.00 90.00°
Space group F-43m (No. 216)
Unique sites:
Tl 0.000 0.000 0.000 (multiplicity 4)
Os 0.000 0.000 0.500 (multiplicity 4)
Os 0.250 0.250 0.750 (multiplicity 4)
Au 0.250 0.250 0.250 (multiplicity 4)

=====

Number 1: uncorrected energy -5.98 eV per atom. Number 2: uncorrected energy -5.91 eV per atom. Number 3: uncorrected energy -8.91 eV per atom. Number 4: uncorrected energy -5.40 eV per atom. Number 5: uncorrected energy -6.18 eV per atom. Number 6: uncorrected energy -4.30 eV per atom. Number 7: uncorrected energy -4.27 eV per atom. Number 8: uncorrected energy -5.95 eV per atom.